YIrRu2: relaxed, PBE.

Properties
**Energy above the lowest structure with this stoichiometry**: 395 meV/atom
**E**: -97.04 eV/cell
**Calculated volume**: 199.56 Å³ per cell
**Density of states at the Fermi level**: 8.3 states/eV/f.u.
**Space group**: R3m
**Energy of formation from the pure elements**: 148 kJ/mol of formula units
**Magnetic moment**: 0.01 μB per atom

The structure in POSCAR format:
```
YIrRu2
1.0
2.8685 0.0000 0.0000
-1.4342 2.4842 0.0000
0.0000 0.0000 28.0056
Y Ir Ru
3 3 6
Cartesian
0.0000 0.0000 0.0000 Y
0.0000 1.6561 18.6704 Y
1.4342 0.8281 9.3352 Y
0.0000 0.0000 21.1919 Ir
0.0000 1.6561 11.8567 Ir
1.4342 0.8281 2.5215 Ir
0.0000 0.0000 6.7449 Ru
0.0000 0.0000 14.0447 Ru
0.0000 1.6561 4.7095 Ru
0.0000 1.6561 25.4154 Ru
1.4342 0.8281 16.0802 Ru
1.4342 0.8281 23.3799 Ru
```

La4AgHgN: relaxed, PBE.

Properties
**E**: -70.56 eV/cell
**Calculated volume**: 404.89 Å³ per cell
**Density of states at the Fermi level**: 6.2 states/eV/f.u.
**Space group**: Cmcm
**Magnetic moment**: 0.00 μB per atom

The structure in POSCAR format:
```
La4AgHgN
1.0
3.6367 -7.6486 0.0000
3.6367 7.6486 0.0000
0.0000 0.0000 7.2782
La Ag Hg N
8 2 2 2
Cartesian
1.8183 3.8243 0.0000 La
1.8183 3.8243 3.6391 La
3.6367 6.4246 5.4586 La
3.6367 1.2942 5.4586 La
1.8183 -3.8243 0.0000 La
1.8183 -3.8243 3.6391 La
3.6367 -1.2942 1.8195 La
3.6367 -6.4246 1.8195 La
3.6367 5.8098 1.8195 Ag
3.6367 -5.8098 5.4586 Ag
3.6367 1.8066 1.8195 Hg
3.6367 -1.8066 5.4586 Hg
3.6367 3.8415 5.4586 N
3.6367 -3.8415 1.8195 N
```